Entry 1:
Entry from the Alexandria database: LiSmPdPt after structural relaxation (PBE).

It has space group F-43m (No. 216), with a = 6.7397 Å, b = 6.7397 Å, c = 6.7397 Å, α = 90.00°, β = 90.00° and γ = 90.00°. Symmetry generates all atoms from Li at (0.0000, 0.0000, 0.0000), Sm at (0.0000, 0.0000, 0.5000), Pd at (0.2500, 0.2500, 0.7500) and Pt at (0.2500, 0.2500, 0.2500).

Its calculated formation energy is -0.754 eV/atom. The density of states at the Fermi level comes out at 1.1 states/eV per cell. The crystal system is cubic.

=====

Entry 2:
Entry from the Alexandria database: TmScAgAu after structural relaxation (PBE).

It has space group P4mm (No. 99), with a = 3.4856 Å, b = 3.4856 Å, c = 7.0132 Å, α = 90.00°, β = 90.00° and γ = 90.00°. Symmetry generates all atoms from Tm at (0.0000, 0.0000, 0.0000), Sc at (0.0000, 0.0000, 0.5094), Ag at (0.5000, 0.5000, 0.2722) and Au at (0.5000, 0.5000, 0.7390).

The relative energy among the computed polymorphs comes out at 0.000 eV/f.u. Its calculated formation energy is -0.578 eV/atom. The density of states at the Fermi level comes out at 2.4 states/eV per cell. The crystal system is tetragonal.

=====

Entry 3:
Entry from the Alexandria database: BaNa3S4O12 after structural relaxation (PBE).

It has space group R32 (No. 155, hexagonal axes), with a = 11.2297 Å, b = 11.2297 Å, c = 9.1549 Å, α = 90.00°, β = 90.00° and γ = 120.00°. Symmetry generates all atoms from Ba at (0.0000, 0.0000, 0.0000), Na at (0.0000, 0.5458, 0.0000), S at (0.0000, 0.0000, 0.5000), S at (0.0000, 0.4568, 0.5000), O at (0.0000, 0.5930, 0.5000), O at (0.0000, 0.8673, 0.5000) and O at (0.0120, 0.2065, 0.1783).

The density of states at the Fermi level comes out at 39.5 states/eV per cell. The crystal system is trigonal. Its formation energy from raw total energies is -1.202 eV/atom.

=====

Entry 4:
Entry from the Alexandria database: Sm3YSc2 after structural relaxation (PBE).

It has space group C2/m (No. 12), with a = 22.9536 Å, b = 3.3941 Å, c = 10.0034 Å, α = 90.00°, β = 107.55° and γ = 90.00°. Symmetry generates all atoms from Sm at (0.0593, 0.0000, 0.4272), Sm at (0.0687, 0.5000, 0.7811), Sm at (0.1964, 0.0000, 0.7065), Y at (0.1858, 0.0000, 0.0462), Sc at (0.0736, 0.5000, 0.1396) and Sc at (0.1919, 0.0000, 0.3725).

The relative energy among the computed polymorphs comes out at 0.000 eV/f.u. Its calculated formation energy is 0.159 eV/atom. The density of states at the Fermi level comes out at 42.3 states/eV per cell. The crystal system is monoclinic.

=====

Entry 5:
Entry from the Alexandria database: Ba2USe5 after structural relaxation (PBE).

It has space group Pnma (No. 62), with a = 12.9685 Å, b = 9.0060 Å, c = 8.2024 Å, α = 90.00°, β = 90.00° and γ = 90.00°. Symmetry generates all atoms from Ba at (0.1683, 0.0075, 0.0839), U at (0.0057, 0.2500, 0.5570), Se at (0.0126, 0.2500, 0.9062), Se at (0.0617, 0.5422, 0.6744), Se at (0.1916, 0.2500, 0.3967) and Se at (0.1969, 0.7500, 0.3682).

The relative energy among the computed polymorphs comes out at 0.000 eV/f.u. The crystal system is orthorhombic. Its formation energy from raw total energies is -1.523 eV/atom.

=====

Entry 6:
Entry from the Alexandria database: LiGdScIn after structural relaxation (PBE).

It has space group F-43m (No. 216), with a = 7.2890 Å, b = 7.2890 Å, c = 7.2890 Å, α = 90.00°, β = 90.00° and γ = 90.00°. Symmetry generates all atoms from Li at (0.0000, 0.0000, 0.0000), Gd at (0.2500, 0.2500, 0.7500), Sc at (0.2500, 0.2500, 0.2500) and In at (0.0000, 0.0000, 0.5000).

Its calculated formation energy is -0.252 eV/atom. The density of states at the Fermi level comes out at 13.5 states/eV per cell. The crystal system is cubic.

=====

Entry 7:
Entry from the Alexandria database: LaIn2Os after structural relaxation (PBE).

It has space group P4/mmm (No. 123), with a = 3.3825 Å, b = 3.3825 Å, c = 7.8988 Å, α = 90.00°, β = 90.00° and γ = 90.00°. Symmetry generates all atoms from La at (0.0000, 0.0000, 0.0000), In at (0.5000, 0.5000, 0.3058) and Os at (0.0000, 0.0000, 0.5000).

Its calculated formation energy is 0.047 eV/atom. The density of states at the Fermi level comes out at 3.0 states/eV per cell. The crystal system is tetragonal.

=====

Entry 8:
Entry from the Alexandria database: AlNiCN2 after structural relaxation (PBE).

It has space group P4/mmm (No. 123), with a = 3.4091 Å, b = 3.4091 Å, c = 5.2324 Å, α = 90.00°, β = 90.00° and γ = 90.00°. Symmetry generates all atoms from Al at (0.0000, 0.0000, 0.0000), Ni at (0.0000, 0.0000, 0.5000), C at (0.5000, 0.5000, 0.0000) and N at (0.0000, 0.5000, 0.5000).

The density of states at the Fermi level comes out at 3.6 states/eV per cell. The crystal system is tetragonal. Its formation energy from raw total energies is 1.855 eV/atom.